Pm2GeHPt6: relaxed, GGA-PBE.

Geometry as POSCAR:
```
Pm2GeHPt6
1.0
-1.607 4.661 -2.909
-4.870 1.320 4.805
0.414 5.169 2.422
Pm Ge Pt H
2 1 6 1
direct
0.783 0.347 0.434 Pm
0.217 0.653 0.566 Pm
0.500 0.500 0.000 Ge
0.729 0.191 0.039 Pt
0.768 0.809 0.961 Pt
0.769 0.810 0.463 Pt
0.271 0.809 0.961 Pt
0.231 0.190 0.537 Pt
0.232 0.191 0.039 Pt
0.000 0.000 0.000 H
```

Calculated values
* magnetic moment: 0.0 μB/f.u.
* total energy: -61.7 eV per cell
* space group: C2/m, No. 12
* ρ: 14.7 g/cm³
* volume: 17.386 A^3/atom